Material: TaTe3H
Method: DFT, GGA-PBE
State: optimized geometry

The structure in POSCAR format:
```
TaTe3H
1.0
3.512 0.000 0.000
1.448 8.564 0.000
1.744 3.762 9.069
Ta Te H
2 6 2
Cartesian
1.603 4.540 1.200
5.100 7.787 7.869
1.599 6.642 3.207
3.343 8.981 5.941
3.344 5.863 8.937
3.359 6.463 0.132
3.360 3.345 3.128
5.104 5.684 5.861
3.344 10.590 6.505
3.359 1.737 2.563
```

Raw total energy   -50.74 eV per cell
Fermi-level density of states   0.7 states/eV/f.u.
Symmetry   No. 2
Magnetic moment   0.00 Bohr magnetons per cell

***

Material: Mg2TiPt2
Method: DFT, GGA-PBE
State: optimized geometry

The structure in POSCAR format:
```
Mg2TiPt2
1.0
7.641 0.000 0.000
0.000 7.641 0.000
0.000 0.000 2.836
Mg Ti Pt
4 2 4
Cartesian
0.954 2.866 0.000
2.866 6.687 0.000
4.775 0.954 0.000
6.687 4.775 0.000
0.000 0.000 0.000
3.821 3.821 0.000
1.335 5.156 1.418
2.486 1.335 1.418
5.156 6.306 1.418
6.306 2.486 1.418
```

Raw total energy   -52.11 eV per cell
Fermi-level density of states   3.7 states/eV/f.u.
Symmetry   No. 127
Magnetic moment   0.00 Bohr magnetons per cell
ΔH_f (0 K)   -56 kJ per mole of atoms

***

Material: HoCuTc
Method: DFT, GGA-PBE
State: optimized geometry

The structure in POSCAR format:
```
HoCuTc
1.0
0.000 5.327 8.968
2.399 0.000 8.968
2.399 5.327 0.000
Ho Cu Tc
4 4 4
Cartesian
2.399 1.588 6.861
2.399 1.588 11.076
2.399 9.066 6.861
2.399 9.066 11.076
2.399 3.952 5.032
2.399 6.702 5.032
2.399 3.952 12.905
2.399 6.702 12.905
2.399 3.481 8.968
2.399 5.327 7.334
2.399 5.327 10.603
2.399 7.173 8.968
```

Raw total energy   -75.18 eV per cell
Fermi-level density of states   2.0 states/eV/f.u.
Symmetry   No. 69
Magnetic moment   0.00 Bohr magnetons per cell
ΔH_f (0 K)   8 kJ per mole of atoms

***

Material: SrBeCo
Method: DFT, GGA-PBE
State: optimized geometry

The structure in POSCAR format:
```
SrBeCo
1.0
3.170 0.000 0.000
0.000 3.170 0.000
0.000 0.000 10.432
Sr Be Co
2 2 2
Cartesian
0.000 0.000 0.000
1.585 1.585 5.216
0.000 0.000 2.806
1.585 1.585 8.022
0.000 0.000 7.576
1.585 1.585 2.360
```

Raw total energy   -22.87 eV per cell
Fermi-level density of states   2.3 states/eV/f.u.
Symmetry   No. 107
Magnetic moment   1.44 Bohr magnetons per cell
ΔH_f (0 K)   35 kJ per mole of atoms

***

Material: Li2Ca2Cu
Method: DFT, GGA-PBE
State: optimized geometry

The structure in POSCAR format:
```
Li2Ca2Cu
1.0
7.086 0.000 0.000
0.000 7.086 0.000
0.000 0.000 5.018
Li Ca Cu
4 4 2
Cartesian
0.971 2.572 0.000
2.572 6.115 0.000
4.514 0.971 0.000
6.115 4.514 0.000
1.326 4.869 2.509
2.217 1.326 2.509
4.869 5.760 2.509
5.760 2.217 2.509
0.000 0.000 0.000
3.543 3.543 0.000
```

Raw total energy   -22.80 eV per cell
Fermi-level density of states   3.5 states/eV/f.u.
Symmetry   No. 127
Magnetic moment   0.00 Bohr magnetons per cell
ΔH_f (0 K)   10 kJ per mole of atoms

***

Material: Si3Ni
Method: DFT, GGA-PBE
State: optimized geometry

The structure in POSCAR format:
```
Si3Ni
1.0
2.525 0.000 0.000
0.000 2.974 0.000
0.000 0.000 7.172
Si Ni
3 1
Cartesian
0.000 0.000 0.000
0.000 1.487 2.085
0.000 1.487 5.087
1.263 0.000 3.586
```

Raw total energy   -22.10 eV per cell
Fermi-level density of states   1.5 states/eV/f.u.
Symmetry   No. 47
Magnetic moment   0.00 Bohr magnetons per cell
E_form (uncorrected)   -0.05 eV per formula unit

***

Material: PmPrZn10
Method: DFT, GGA-PBE
State: optimized geometry

The structure in POSCAR format:
```
PmPrZn10
1.0
4.255 0.000 0.000
0.000 5.390 0.000
0.000 0.000 9.339
Pm Pr Zn
1 1 10
Cartesian
0.000 0.000 0.000
0.000 2.695 4.670
0.000 0.000 3.096
0.000 0.000 6.243
0.000 2.695 1.541
0.000 2.695 7.798
2.127 0.000 4.670
2.127 1.342 2.322
2.127 1.342 7.018
2.127 2.695 0.000
2.127 4.048 2.322
2.127 4.048 7.018
```

Raw total energy   -25.84 eV per cell
Fermi-level density of states   4.6 states/eV/f.u.
Symmetry   No. 47
Magnetic moment   0.00 Bohr magnetons per cell
ΔH_f (0 K)   -29 kJ per mole of atoms

***

Material: HoZnCdCu
Method: DFT, GGA-PBE
State: optimized geometry

The structure in POSCAR format:
```
HoZnCdCu
1.0
6.698 0.000 0.000
0.000 6.698 0.000
0.000 0.000 6.698
Ho Zn Cd Cu
4 4 4 4
Cartesian
0.000 0.000 0.000
0.000 3.349 3.349
3.349 0.000 3.349
3.349 3.349 0.000
1.675 1.675 5.024
1.675 5.024 1.675
5.024 1.675 1.675
5.024 5.024 5.024
0.000 0.000 3.349
0.000 3.349 0.000
3.349 0.000 0.000
3.349 3.349 3.349
1.675 1.675 1.675
1.675 5.024 5.024
5.024 1.675 5.024
5.024 5.024 1.675
```

Raw total energy   -47.74 eV per cell
Fermi-level density of states   2.2 states/eV/f.u.
Symmetry   No. 216
Magnetic moment   0.00 Bohr magnetons per cell
ΔH_f (0 K)   -26 kJ per mole of atoms